Material: Li3CrSiBO7
Method: DFT, PBE with a Hubbard U
State: optimized geometry

Output
space group = No. 11
E_tot = -88.75 eV per formula unit

abc: 6.2808 5.1043 8.3385
angles: 84.68 90.00 90.00
Last column: magnetic moment on the atom in μB.
Fractional positions:
Li 0.2500 0.7708 0.6007  0.00
Cr 0.7500 0.7986 0.8157  2.16
O 0.5523 0.1788 0.1951  -0.05
Si 0.2500 0.7239 0.9272  0.01
O 0.9477 0.1788 0.1951  -0.05
O 0.7500 0.5208 0.6779  -0.07
O 0.0523 0.8212 0.8049  -0.05
O 0.7500 0.5964 0.0311  -0.01
O 0.7500 0.6256 0.3881  -0.01
Cr 0.2500 0.2014 0.1843  2.16
Si 0.7500 0.2761 0.0728  0.01
B 0.7500 0.7042 0.5376  0.01
Li 0.0080 0.2630 0.7556  0.00
Li 0.7500 0.2292 0.3993  0.00
O 0.2500 0.0402 0.4168  -0.03
Li 0.5080 0.7370 0.2444  0.00
O 0.2500 0.4036 0.9689  -0.01
Li 0.4920 0.2630 0.7556  0.00
O 0.7500 0.9598 0.5832  -0.03
O 0.2500 0.3744 0.6119  -0.01
B 0.2500 0.2958 0.4624  0.01
O 0.4477 0.8212 0.8049  -0.05
O 0.2500 0.8668 0.0937  -0.02
O 0.2500 0.4792 0.3221  -0.07
Li 0.9920 0.7370 0.2444  0.00
O 0.7500 0.1332 0.9063  -0.02